The following is a GGA-PBE calculation of LiCoTc4 after structural relaxation, from Alexandria. Values from VASP.

Formation enthalpy at 0 K ... 0.55 eV/atom
Size of the total moment ... 0.337 μB per atom

The structure in Quantum ESPRESSO input format:
```
&SYSTEM
  ibrav = 0, nat = 6, ntyp = 3
/
ATOMIC_SPECIES
Tc 98.00 Tc.upf
Co 58.93 Co.upf
Li 6.94 Li.upf
CELL_PARAMETERS angstrom
0.2556 1.7400 4.7568
-1.1521 4.8374 0.9959
-4.2544 1.1263 2.5201
ATOMIC_POSITIONS crystal
Tc 0.3748 0.8755 0.3748
Tc 0.3748 0.3748 0.8755
Tc 0.8755 0.3748 0.3748
Tc 0.3748 0.3748 0.3748
Co 0.7500 0.7500 0.7500
Li 0.0000 0.0000 0.0000
```